The following is a DFT calculation (PBE) of AsRu2 after structural relaxation.

Summary:
Energy in eV per cell: -45.13
ΔE_f in eV per atom: 0.2113
D(E_F) in states/eV/cell: 4.55

a = 10.2705 Å, b = 10.2705 Å, c = 10.2705 Å
α = 163.25°, β = 163.25°, γ = 23.77°
Sites, in units of the cell vectors:
1 As 0.3750 0.6250 0.7500
2 As 0.6250 0.3750 0.2500
3 Ru 0.0539 0.8039 0.2500
4 Ru 0.1961 0.9461 0.2500
5 Ru 0.8039 0.0539 0.7500
6 Ru 0.9461 0.1961 0.7500